Record 1
{
  "formula": "SbH2Pt7Pb2",
  "functional": "PBE",
  "state": "relaxed",
  "spacegroup": "C2/m, No. 12",
  "dos_at_fermi_per_ev_cell": 5.126,
  "magnetic_moment_mub_per_fu": 0.00,
  "e_tot_ev_per_atom": -5.133,
  "cell": [[2.851, -2.814, 0.000], [2.851, 2.814, 0.000], [-2.800, 0.000, 12.273]],
  "species": ["Sb", "H", "H", "Pt", "Pt", "Pt", "Pt", "Pt", "Pt", "Pt", "Pb", "Pb"],
  "fractional_positions": [[0.000, 0.000, 0.000], [0.395, 0.395, 0.252], [0.605, 0.605, 0.748], [0.077, 0.590, 0.170], [0.296, 0.296, 0.658], [0.410, 0.923, 0.830], [0.500, 0.500, 0.000], [0.590, 0.077, 0.170], [0.704, 0.704, 0.342], [0.923, 0.410, 0.830], [0.210, 0.210, 0.417], [0.790, 0.790, 0.583]]
}

=====

Record 2
{
  "formula": "KMgAl",
  "functional": "PBE",
  "state": "relaxed",
  "spacegroup": "Cm, No. 8",
  "e_form_ev_per_atom": 0.134,
  "dos_at_fermi_per_ev_cell": 1.697,
  "magnetic_moment_mub_per_fu": 0.00,
  "e_above_lowest_polymorph_mev_per_atom": 26,
  "e_tot_ev_per_atom": -2.011,
  "cell": [[6.672, -2.361, 0.000], [6.672, 2.361, 0.000], [-0.172, 0.000, 5.958]],
  "species": ["K", "K", "Mg", "Mg", "Al", "Al"],
  "fractional_positions": [[0.000, 0.000, 0.000], [0.563, 0.563, 0.495], [0.289, 0.289, 0.741], [0.731, 0.731, 0.012], [0.299, 0.299, 0.247], [0.837, 0.837, 0.483]]
}

=====

Record 3
{
  "formula": "ZnHg15",
  "functional": "PBE",
  "state": "relaxed",
  "spacegroup": "P-6m2, No. 187",
  "e_form_ev_per_atom": 0.045,
  "dos_at_fermi_per_ev_cell": 4.458,
  "magnetic_moment_mub_per_fu": 0.00,
  "e_tot_ev_per_atom": -0.318,
  "cell": [[7.995, 0.000, 0.000], [-3.997, 6.924, 0.000], [0.000, 0.000, 8.264]],
  "species": ["Zn", "Hg", "Hg", "Hg", "Hg", "Hg", "Hg", "Hg", "Hg", "Hg", "Hg", "Hg", "Hg", "Hg", "Hg", "Hg"],
  "fractional_positions": [[0.000, 0.000, 0.000], [0.000, 0.000, 0.500], [0.040, 0.520, 0.000], [0.310, 0.155, 0.226], [0.310, 0.155, 0.774], [0.333, 0.667, 0.300], [0.333, 0.667, 0.700], [0.480, 0.520, 0.000], [0.480, 0.960, 0.000], [0.530, 0.059, 0.500], [0.530, 0.470, 0.500], [0.845, 0.155, 0.226], [0.845, 0.155, 0.774], [0.845, 0.690, 0.226], [0.845, 0.690, 0.774], [0.941, 0.470, 0.500]]
}

=====

Record 4
{
  "formula": "LaPrSn2",
  "functional": "PBE",
  "state": "relaxed",
  "spacegroup": "P4/mmm, No. 123",
  "e_form_ev_per_atom": -0.707,
  "dos_at_fermi_per_ev_cell": 3.857,
  "magnetic_moment_mub_per_fu": 0.00,
  "e_tot_ev_per_atom": -5.135,
  "cell": [[3.586, 0.000, 0.000], [0.000, 3.586, 0.000], [0.000, 0.000, 9.198]],
  "species": ["La", "Pr", "Sn", "Sn"],
  "fractional_positions": [[0.000, 0.000, 0.000], [0.000, 0.000, 0.500], [0.500, 0.500, 0.252], [0.500, 0.500, 0.748]]
}

=====

Record 5
{
  "formula": "PaBiPdO5",
  "functional": "PBE",
  "state": "relaxed",
  "spacegroup": "C2/c, No. 15",
  "magnetic_moment_mub_per_fu": 0.00,
  "e_tot_ev_per_atom": -7.290,
  "cell": [[4.132, -4.458, 0.000], [4.132, 4.458, 0.000], [-3.982, 0.000, 7.557]],
  "species": ["Pa", "Pa", "Bi", "Bi", "Pd", "Pd", "O", "O", "O", "O", "O", "O", "O", "O", "O", "O"],
  "fractional_positions": [[0.000, 0.500, 0.000], [0.500, 0.000, 0.500], [0.097, 0.903, 0.750], [0.903, 0.097, 0.250], [0.492, 0.508, 0.750], [0.508, 0.492, 0.250], [0.177, 0.633, 0.850], [0.240, 0.254, 0.026], [0.254, 0.240, 0.526], [0.269, 0.731, 0.250], [0.367, 0.823, 0.650], [0.633, 0.177, 0.350], [0.731, 0.269, 0.750], [0.746, 0.760, 0.474], [0.760, 0.746, 0.974], [0.823, 0.367, 0.150]]
}

=====

Record 6
{
  "formula": "TlCd2Bi2",
  "functional": "PBE",
  "state": "relaxed",
  "spacegroup": "I4/mmm, No. 139",
  "e_form_ev_per_atom": 0.027,
  "dos_at_fermi_per_ev_cell": 1.846,
  "magnetic_moment_mub_per_fu": 0.00,
  "e_above_lowest_polymorph_mev_per_atom": 19,
  "e_tot_ev_per_atom": -2.365,
  "cell": [[-2.254, 2.254, 7.717], [2.254, -2.254, 7.717], [2.254, 2.254, -7.717]],
  "species": ["Tl", "Cd", "Cd", "Bi", "Bi"],
  "fractional_positions": [[0.000, 0.000, 0.000], [0.250, 0.750, 0.500], [0.750, 0.250, 0.500], [0.386, 0.386, 0.000], [0.614, 0.614, 0.000]]
}

=====

Record 7
{
  "formula": "Cu4Pd15Au",
  "functional": "PBE",
  "state": "relaxed",
  "spacegroup": "P4/mmm, No. 123",
  "e_form_ev_per_atom": -0.060,
  "dos_at_fermi_per_ev_cell": 23.282,
  "magnetic_moment_mub_per_fu": 0.00,
  "e_tot_ev_per_atom": -4.938,
  "cell": [[3.905, 0.000, 0.000], [0.000, 3.905, 0.000], [0.000, 0.000, 19.588]],
  "species": ["Cu", "Cu", "Cu", "Cu", "Pd", "Pd", "Pd", "Pd", "Pd", "Pd", "Pd", "Pd", "Pd", "Pd", "Pd", "Pd", "Pd", "Pd", "Pd", "Au"],
  "fractional_positions": [[0.000, 0.000, 0.099], [0.000, 0.000, 0.296], [0.000, 0.000, 0.704], [0.000, 0.000, 0.901], [0.000, 0.500, 0.000], [0.000, 0.500, 0.197], [0.000, 0.500, 0.394], [0.000, 0.500, 0.606], [0.000, 0.500, 0.803], [0.500, 0.000, 0.000], [0.500, 0.000, 0.197], [0.500, 0.000, 0.394], [0.500, 0.000, 0.606], [0.500, 0.000, 0.803], [0.500, 0.500, 0.099], [0.500, 0.500, 0.295], [0.500, 0.500, 0.500], [0.500, 0.500, 0.705], [0.500, 0.500, 0.901], [0.000, 0.000, 0.500]]
}

=====

Record 8
{
  "formula": "Al2Zn5Ag4",
  "functional": "PBE",
  "state": "relaxed",
  "spacegroup": "P2/m, No. 10",
  "e_form_ev_per_atom": 0.035,
  "dos_at_fermi_per_ev_cell": 2.866,
  "magnetic_moment_mub_per_fu": 0.00,
  "e_above_lowest_polymorph_mev_per_atom": 25,
  "e_tot_ev_per_atom": -2.262,
  "cell": [[7.737, 0.000, 0.000], [0.000, 2.769, 0.000], [-0.171, 0.000, 8.774]],
  "species": ["Al", "Al", "Zn", "Zn", "Zn", "Zn", "Zn", "Ag", "Ag", "Ag", "Ag"],
  "fractional_positions": [[0.096, 0.000, 0.368], [0.904, 0.000, 0.632], [0.122, 0.000, 0.883], [0.465, 0.000, 0.345], [0.500, 0.000, 0.000], [0.535, 0.000, 0.655], [0.878, 0.000, 0.117], [0.230, 0.500, 0.620], [0.242, 0.500, 0.136], [0.758, 0.500, 0.864], [0.770, 0.500, 0.380]]
}

=====

Record 9
{
  "formula": "Sc6Te7",
  "functional": "PBE",
  "state": "relaxed",
  "spacegroup": "R-3m, No. 166",
  "dos_at_fermi_per_ev_cell": 14.541,
  "magnetic_moment_mub_per_fu": 0.00,
  "e_tot_ev_per_atom": -4.921,
  "cell": [[3.251, 1.877, 10.315], [-3.251, 1.877, 10.315], [0.000, -3.754, 10.315]],
  "species": ["Sc", "Sc", "Sc", "Sc", "Sc", "Sc", "Te", "Te", "Te", "Te", "Te", "Te", "Te"],
  "fractional_positions": [[0.054, 0.054, 0.054], [0.191, 0.191, 0.191], [0.336, 0.336, 0.336], [0.664, 0.664, 0.664], [0.809, 0.809, 0.809], [0.946, 0.946, 0.946], [0.069, 0.573, 0.573], [0.427, 0.427, 0.931], [0.427, 0.931, 0.427], [0.500, 0.500, 0.500], [0.573, 0.069, 0.573], [0.573, 0.573, 0.069], [0.931, 0.427, 0.427]]
}

=====

Record 10
{
  "formula": "ScMnMo2",
  "functional": "PBE",
  "state": "relaxed",
  "spacegroup": "C2/m, No. 12",
  "e_form_ev_per_atom": 0.196,
  "dos_at_fermi_per_ev_cell": 4.899,
  "magnetic_moment_mub_per_fu": 1.25,
  "e_above_lowest_polymorph_mev_per_atom": 146,
  "e_tot_ev_per_atom": -9.095,
  "cell": [[2.681, -4.490, 0.000], [2.681, 4.490, 0.000], [-0.906, 0.000, 2.615]],
  "species": ["Sc", "Mn", "Mo", "Mo"],
  "fractional_positions": [[0.000, 0.000, 0.000], [0.500, 0.500, 0.000], [0.000, 0.500, 0.500], [0.500, 0.000, 0.500]]
}

=====

Record 11
{
  "formula": "LiTaSeO5",
  "functional": "PBE",
  "state": "relaxed",
  "spacegroup": "C2/c, No. 15",
  "dos_at_fermi_per_ev_cell": 0.000,
  "magnetic_moment_mub_per_fu": 0.00,
  "e_tot_ev_per_atom": -7.082,
  "cell": [[3.833, -4.043, 0.000], [3.833, 4.043, 0.000], [-3.659, 0.000, 6.803]],
  "species": ["Li", "Li", "Ta", "Ta", "Se", "Se", "O", "O", "O", "O", "O", "O", "O", "O", "O", "O"],
  "fractional_positions": [[0.056, 0.944, 0.750], [0.944, 0.056, 0.250], [0.000, 0.500, 0.000], [0.500, 0.000, 0.500], [0.417, 0.583, 0.750], [0.583, 0.417, 0.250], [0.172, 0.646, 0.846], [0.237, 0.249, 0.007], [0.246, 0.754, 0.250], [0.249, 0.237, 0.507], [0.354, 0.828, 0.654], [0.646, 0.172, 0.346], [0.751, 0.763, 0.493], [0.754, 0.246, 0.750], [0.763, 0.751, 0.993], [0.828, 0.354, 0.154]]
}

=====

Record 12
{
  "formula": "Mn3ReC",
  "functional": "PBE",
  "state": "relaxed",
  "spacegroup": "Pm-3m, No. 221",
  "e_form_ev_per_atom": 0.067,
  "dos_at_fermi_per_ev_cell": 4.363,
  "magnetic_moment_mub_per_fu": 0.00,
  "e_above_lowest_polymorph_mev_per_atom": 0,
  "e_tot_ev_per_atom": -9.769,
  "cell": [[3.770, 0.000, 0.000], [0.000, 3.770, 0.000], [0.000, 0.000, 3.770]],
  "species": ["Mn", "Mn", "Mn", "Re", "C"],
  "fractional_positions": [[0.000, 0.000, 0.500], [0.000, 0.500, 0.000], [0.500, 0.000, 0.000], [0.500, 0.500, 0.500], [0.000, 0.000, 0.000]]
}

=====

Record 13
{
  "formula": "SrLiCaRh",
  "functional": "PBE",
  "state": "relaxed",
  "spacegroup": "R3m, No. 160",
  "e_form_ev_per_atom": -0.181,
  "dos_at_fermi_per_ev_cell": 1.565,
  "magnetic_moment_mub_per_fu": 0.00,
  "e_above_lowest_polymorph_mev_per_atom": 0,
  "e_tot_ev_per_atom": -3.418,
  "cell": [[2.166, 1.251, 7.152], [-2.166, 1.251, 7.152], [0.000, -2.501, 7.152]],
  "species": ["Sr", "Li", "Ca", "Rh"],
  "fractional_positions": [[0.000, 0.000, 0.000], [0.760, 0.760, 0.760], [0.173, 0.173, 0.173], [0.425, 0.425, 0.425]]
}